# 1
! GGA-PBE LaGa2CoHg, optimized geometry; values from VASP
! M_tot: 0.00 μB per formula unit
! excess energy over the best structure of this formula in the dataset: 0.0 kJ per mole of atoms
! crystal system: tetragonal
! symmetry: No. 123
! DFT total energy: -20.235 eV/cell
&SYSTEM
  ibrav = 0, nat = 5, ntyp = 4
/
ATOMIC_SPECIES
La 138.91 La.upf
Ga 69.72 Ga.upf
Co 58.93 Co.upf
Hg 200.59 Hg.upf
ATOMIC_POSITIONS angstrom
La 0.000 0.000 0.000
Ga 0.000 2.364 2.519
Ga 2.364 0.000 2.519
Co 0.000 0.000 2.519
Hg 2.364 2.364 0.000
CELL_PARAMETERS angstrom
4.729 0.000 0.000
0.000 4.729 0.000
0.000 0.000 5.039

# 2
! GGA-PBE La2GaCoHg, optimized geometry; values from VASP
! M_tot: 0.00 μB per formula unit
! crystal system: tetragonal
! symmetry: No. 123
! DFT total energy: -22.354 eV/cell
&SYSTEM
  ibrav = 0, nat = 5, ntyp = 4
/
ATOMIC_SPECIES
La 138.91 La.upf
Ga 69.72 Ga.upf
Co 58.93 Co.upf
Hg 200.59 Hg.upf
ATOMIC_POSITIONS angstrom
La 0.000 2.652 0.000
La 2.652 0.000 0.000
Ga 0.000 0.000 2.311
Co 0.000 0.000 0.000
Hg 2.652 2.652 2.311
CELL_PARAMETERS angstrom
5.303 0.000 0.000
0.000 5.303 0.000
0.000 0.000 4.623

# 3
! GGA-PBE LaGa2CoHg, optimized geometry; values from VASP
! M_tot: 0.00 μB per formula unit
! excess energy over the best structure of this formula in the dataset: 3.4 kJ per mole of atoms
! crystal system: tetragonal
! symmetry: No. 123
! DFT total energy: -20.057 eV/cell
&SYSTEM
  ibrav = 0, nat = 5, ntyp = 4
/
ATOMIC_SPECIES
La 138.91 La.upf
Ga 69.72 Ga.upf
Co 58.93 Co.upf
Hg 200.59 Hg.upf
ATOMIC_POSITIONS angstrom
La 0.000 0.000 0.000
Ga 0.000 2.311 2.499
Ga 2.311 0.000 2.499
Co 2.311 2.311 2.499
Hg 2.311 2.311 0.000
CELL_PARAMETERS angstrom
4.622 0.000 0.000
0.000 4.622 0.000
0.000 0.000 4.999